Here is a geometry-optimized Sr2Ga9Rh3 structure from the Alexandria database. Energies are from PBE-GGA.

Summary:
- Space group: C2/c
- ΔH_f (0 K): -8.0 eV/f.u.
- DOS(E_F): 0.499 states/eV per atom
- VASP energy: -4.3329 eV per atom
- V: 506 Å³ per cell

Cell: 7.6768 7.6768 10.9188 Å, 110.82 110.82 59.51°
Fractional positions:
Sr 0.0854 0.2510 0.2490
Sr 0.2510 0.0854 0.7490
Sr 0.7490 0.9146 0.2510
Sr 0.9146 0.7490 0.7510
Ga 0.0302 0.8504 0.0730
Ga 0.1496 0.9698 0.4270
Ga 0.1961 0.3581 0.5694
Ga 0.2150 0.5814 0.2517
Ga 0.3185 0.4828 0.9445
Ga 0.3581 0.1961 0.0694
Ga 0.3742 0.6258 0.7500
Ga 0.4186 0.7850 0.2483
Ga 0.4828 0.3185 0.4445
Ga 0.5172 0.6815 0.5555
Ga 0.5814 0.2150 0.7517
Ga 0.6258 0.3742 0.2500
Ga 0.6419 0.8039 0.9306
Ga 0.6815 0.5172 0.0555
Ga 0.7850 0.4186 0.7483
Ga 0.8039 0.6419 0.4306
Ga 0.8504 0.0302 0.5730
Ga 0.9698 0.1496 0.9270
Rh 0.0000 0.5000 0.0000
Rh 0.1577 0.6714 0.4993
Rh 0.3286 0.8423 0.0007
Rh 0.5000 0.0000 0.5000
Rh 0.6714 0.1577 0.9993
Rh 0.8423 0.3286 0.5007


Here is a geometry-optimized Zn2FePd5 structure from the Alexandria database. Energies are from PBE-GGA.

Summary:
- Space group: Pbam
- ΔH_f (0 K): -2.6 eV/f.u.
- DOS(E_F): 0.521 states/eV per atom
- VASP energy: -4.9407 eV per atom
- V: 235 Å³ per cell

Cell: 5.3856 10.3942 4.2007 Å, 90.00 90.00 90.00°
Fractional positions:
Zn 0.1642 0.1324 0.0000
Zn 0.3358 0.6324 0.0000
Zn 0.6642 0.3676 0.0000
Zn 0.8358 0.8676 0.0000
Fe 0.0000 0.5000 0.5000
Fe 0.5000 0.0000 0.5000
Pd 0.0000 0.0000 0.5000
Pd 0.1193 0.7353 0.5000
Pd 0.1736 0.3878 0.0000
Pd 0.3264 0.8878 0.0000
Pd 0.3807 0.2353 0.5000
Pd 0.5000 0.5000 0.5000
Pd 0.6193 0.7647 0.5000
Pd 0.6736 0.1122 0.0000
Pd 0.8264 0.6122 0.0000
Pd 0.8807 0.2647 0.5000


Here is a geometry-optimized Ac2LaPmSm2 structure from the Alexandria database. Energies are from PBE-GGA.

Summary:
- Space group: Pmma
- ΔH_f (0 K): 0.4 eV/f.u.
- DOS(E_F): 1.522 states/eV per atom
- VASP energy: -4.4842 eV per atom
- V: 457 Å³ per cell

Cell: 7.4153 5.9778 10.3018 Å, 90.00 90.00 90.00°
Fractional positions:
Ac 0.0000 0.0000 0.0000
Ac 0.2500 0.5000 0.1701
Ac 0.5000 0.0000 0.0000
Ac 0.7500 0.5000 0.8299
La 0.0000 0.5000 0.5000
La 0.5000 0.5000 0.5000
Pm 0.2500 0.0000 0.6657
Pm 0.7500 0.0000 0.3343
Sm 0.2500 0.0000 0.3427
Sm 0.2500 0.5000 0.8252
Sm 0.7500 0.0000 0.6573
Sm 0.7500 0.5000 0.1748


Here is a geometry-optimized BaLi2DyI8 structure from the Alexandria database. Energies are from PBE-GGA.

Summary:
- Space group: P-3
- Uncorrected formation energy: -1.1643 eV/atom
- DOS(E_F): 1.402 states/eV per atom
- VASP energy: -3.0604 eV per atom
- V: 493 Å³ per cell

Cell: 7.6140 7.6140 9.8104 Å, 90.00 90.00 120.00°
Fractional positions:
Ba 0.0000 0.0000 0.0000
Li 0.3333 0.6667 0.7195
Li 0.6667 0.3333 0.2805
Dy 0.0000 0.0000 0.5000
I 0.0218 0.7001 0.3094
I 0.2999 0.3218 0.3094
I 0.3218 0.0218 0.6906
I 0.3333 0.6667 0.9966
I 0.6667 0.3333 0.0034
I 0.6782 0.9782 0.3094
I 0.7001 0.6782 0.6906
I 0.9782 0.2999 0.6906